A plane-wave DFT calculation with PBE-GGA was carried out for a geometry-optimized LiMo structure.

abc: 2.5423 4.3646 5.6179
angles: 90.00 95.81 90.00
Closest atoms and distances in Å follow each position.
Space group P2_1/m (No. 11)
Asymmetric unit:
Li1 0.0643 0.2500 0.3806 (multiplicity 2)  4 Li 2.54-2.60, 2 Mo 2.83
Mo1 0.3781 0.7500 0.1069 (multiplicity 2)  4 Mo 2.54-2.60, 2 Li 2.83

Computed properties:
**Distance to the lowest polymorph of the same formula**: 0.132 eV per atom
**E_form**: 0.334 eV/atom
**Spin magnetization**: 0.0000 μB/atom

A plane-wave DFT calculation with PBE-GGA was carried out for a geometry-optimized LiMo structure.

abc: 2.7396 2.7396 10.0361
angles: 90.00 90.00 120.00
Closest atoms and distances in Å follow each position.
Space group P-3m1 (No. 164)
Asymmetric unit:
Li1 0.3333 0.6667 0.1309 (multiplicity 2)  9 Li 2.74-3.07, 3 Mo 2.94
Mo1 0.3333 0.6667 0.6216 (multiplicity 2)  9 Mo 2.74-2.91, 3 Li 2.94

Computed properties:
**Distance to the lowest polymorph of the same formula**: 0.128 eV per atom
**E_form**: 0.330 eV/atom
**Spin magnetization**: 0.0000 μB/atom

Q: Among the records above, which one has the lowest E_form?
A: number 2